(1)
# PBE BaAg2Pb, optimized geometry
# * formation energy from the elements: -0.065 eV per atom
# * calculated total energy: -2.898 eV/atom
data_BaAg2Pb
_space_group_name_H-M_alt 'P 1'
_space_group_IT_number 1
_space_group_name_Hall 'P 1'
_cell_length_a 5.439
_cell_length_b 5.439
_cell_length_c 5.439
_cell_angle_alpha 120.61
_cell_angle_beta 120.61
_cell_angle_gamma 88.95
loop_
_atom_site_label
_atom_site_fract_x
_atom_site_fract_y
_atom_site_fract_z
Pb1 0.750 0.250 0.500
Ba1 0.500 0.500 0.000
Ag1 0.000 0.000 0.000
Ag2 0.250 0.750 0.500

=====

(2)
# PBE Ba3Ag3Pb8, optimized geometry
# * energy above the most stable polymorph in this dataset: 0.018 eV per atom
# * formation energy from the elements: -0.268 eV per atom
# * calculated total energy: -3.410 eV/atom
data_Ba3Ag3Pb8
_space_group_name_H-M_alt 'P 1'
_space_group_IT_number 1
_space_group_name_Hall 'P 1'
_cell_length_a 5.121
_cell_length_b 9.737
_cell_length_c 9.737
_cell_angle_alpha 75.24
_cell_angle_beta 74.76
_cell_angle_gamma 74.76
loop_
_atom_site_label
_atom_site_fract_x
_atom_site_fract_y
_atom_site_fract_z
Ba1 0.500 0.500 0.500
Ba2 0.786 0.214 0.214
Ba3 0.214 0.786 0.786
Ag1 0.500 0.000 0.000
Ag2 0.000 0.873 0.127
Ag3 0.000 0.127 0.873
Pb1 0.639 0.055 0.667
Pb2 0.361 0.945 0.333
Pb3 0.639 0.667 0.055
Pb4 0.361 0.333 0.945
Pb5 0.875 0.777 0.474
Pb6 0.125 0.223 0.526
Pb7 0.875 0.474 0.777
Pb8 0.125 0.526 0.223

=====

(3)
# PBE Ba2Ag3Pb, optimized geometry
# * energy above the most stable polymorph in this dataset: 0.000 eV per atom
# * formation energy from the elements: -0.300 eV per atom
# * calculated total energy: -2.985 eV/atom
data_Ba2Ag3Pb
_space_group_name_H-M_alt 'P 1'
_space_group_IT_number 1
_space_group_name_Hall 'P 1'
_cell_length_a 6.764
_cell_length_b 6.764
_cell_length_c 9.961
_cell_angle_alpha 111.24
_cell_angle_beta 111.24
_cell_angle_gamma 86.16
loop_
_atom_site_label
_atom_site_fract_x
_atom_site_fract_y
_atom_site_fract_z
Ba1 0.750 0.250 0.500
Ba2 0.757 0.243 0.000
Ba3 0.250 0.750 0.500
Ba4 0.243 0.757 0.000
Ag1 0.835 0.835 0.162
Ag2 0.672 0.672 0.838
Ag3 0.165 0.165 0.838
Ag4 0.328 0.328 0.162
Ag5 0.164 0.164 0.328
Ag6 0.836 0.836 0.672
Pb1 0.666 0.666 0.331
Pb2 0.334 0.334 0.669

=====

(4)
# PBE BaAg9Pb2, optimized geometry
# * formation energy from the elements: -0.064 eV per atom
# * calculated total energy: -2.981 eV/atom
data_BaAg9Pb2
_space_group_name_H-M_alt 'P 1'
_space_group_IT_number 1
_space_group_name_Hall 'P 1'
_cell_length_a 5.824
_cell_length_b 5.824
_cell_length_c 9.839
_cell_angle_alpha 72.78
_cell_angle_beta 72.78
_cell_angle_gamma 60.00
loop_
_atom_site_label
_atom_site_fract_x
_atom_site_fract_y
_atom_site_fract_z
Ba1 0.000 0.000 0.000
Ag1 0.666 0.666 0.001
Ag2 0.334 0.334 0.999
Ag3 0.500 0.500 0.500
Ag4 0.413 0.413 0.255
Ag5 0.919 0.413 0.255
Ag6 0.413 0.919 0.255
Ag7 0.587 0.587 0.745
Ag8 0.587 0.081 0.745
Ag9 0.081 0.587 0.745
Pb1 0.853 0.853 0.440
Pb2 0.147 0.147 0.560

=====

(5)
# PBE Ba3AgPb, optimized geometry
# * energy above the most stable polymorph in this dataset: 0.000 eV per atom
# * formation energy from the elements: -0.267 eV per atom
# * calculated total energy: -2.733 eV/atom
data_Ba3AgPb
_space_group_name_H-M_alt 'P 1'
_space_group_IT_number 1
_space_group_name_Hall 'P 1'
_cell_length_a 4.725
_cell_length_b 10.330
_cell_length_c 10.331
_cell_angle_alpha 67.28
_cell_angle_beta 90.00
_cell_angle_gamma 90.00
loop_
_atom_site_label
_atom_site_fract_x
_atom_site_fract_y
_atom_site_fract_z
Ba1 0.864 0.395 0.823
Ba2 0.864 0.993 0.670
Ba3 0.863 0.618 0.045
Ba4 0.363 0.039 0.092
Ba5 0.863 0.771 0.448
Ba6 0.363 0.349 0.401
Ag1 0.363 0.694 0.246
Ag2 0.364 0.194 0.746
Pb1 0.363 0.694 0.746
Pb2 0.863 0.194 0.246

=====

(6)
# PBE BaAg2Pb2, optimized geometry
# * formation energy from the elements: -0.052 eV per atom
# * calculated total energy: -3.061 eV/atom
data_BaAg2Pb2
_space_group_name_H-M_alt 'P 1'
_space_group_IT_number 1
_space_group_name_Hall 'P 1'
_cell_length_a 9.080
_cell_length_b 9.080
_cell_length_c 3.432
_cell_angle_alpha 90.00
_cell_angle_beta 90.00
_cell_angle_gamma 90.00
loop_
_atom_site_label
_atom_site_fract_x
_atom_site_fract_y
_atom_site_fract_z
Pb1 0.364 0.864 0.000
Pb2 0.864 0.636 0.000
Pb3 0.636 0.136 0.000
Pb4 0.136 0.364 0.000
Ba1 0.000 0.000 0.000
Ba2 0.500 0.500 0.000
Ag1 0.157 0.657 0.500
Ag2 0.657 0.843 0.500
Ag3 0.843 0.343 0.500
Ag4 0.343 0.157 0.500

=====

(7)
# PBE Ba3Ag2Pb7, optimized geometry
# * formation energy from the elements: -0.332 eV per atom
# * calculated total energy: -3.451 eV/atom
data_Ba3Ag2Pb7
_space_group_name_H-M_alt 'P 1'
_space_group_IT_number 1
_space_group_name_Hall 'P 1'
_cell_length_a 6.736
_cell_length_b 6.736
_cell_length_c 10.900
_cell_angle_alpha 72.00
_cell_angle_beta 72.00
_cell_angle_gamma 60.00
loop_
_atom_site_label
_atom_site_fract_x
_atom_site_fract_y
_atom_site_fract_z
Ba1 0.000 0.000 0.000
Ba2 0.859 0.859 0.422
Ba3 0.141 0.141 0.578
Ag1 0.665 0.665 0.006
Ag2 0.335 0.335 0.994
Pb1 0.500 0.500 0.500
Pb2 0.927 0.421 0.231
Pb3 0.421 0.927 0.231
Pb4 0.421 0.421 0.231
Pb5 0.073 0.579 0.769
Pb6 0.579 0.579 0.769
Pb7 0.579 0.073 0.769

=====

(8)
# PBE BaAg2Pb, optimized geometry
# * formation energy from the elements: -0.245 eV per atom
# * calculated total energy: -3.079 eV/atom
data_BaAg2Pb
_space_group_name_H-M_alt 'P 1'
_space_group_IT_number 1
_space_group_name_Hall 'P 1'
_cell_length_a 6.447
_cell_length_b 7.454
_cell_length_c 9.758
_cell_angle_alpha 90.00
_cell_angle_beta 90.00
_cell_angle_gamma 90.00
loop_
_atom_site_label
_atom_site_fract_x
_atom_site_fract_y
_atom_site_fract_z
Ba1 0.347 0.250 0.050
Ba2 0.847 0.750 0.450
Ba3 0.653 0.750 0.950
Ba4 0.153 0.250 0.550
Ag1 0.894 0.057 0.188
Ag2 0.394 0.943 0.312
Ag3 0.106 0.557 0.812
Ag4 0.606 0.443 0.688
Ag5 0.106 0.943 0.812
Ag6 0.606 0.057 0.688
Ag7 0.894 0.443 0.188
Ag8 0.394 0.557 0.312
Pb1 0.648 0.250 0.393
Pb2 0.148 0.750 0.107
Pb3 0.352 0.750 0.607
Pb4 0.852 0.250 0.893